Entry from Alexandria: crystalline Sc4TiN5 at its relaxed geometry (PBE).

Computed properties:
ΔE_f (raw) in eV/f.u.: -18.73

Cell: 3.1569 3.1569 22.2508 Å, 90.00 90.00 90.00°
Closest atoms and distances in Å follow each position.
Space group I4/mmm (No. 139)
Symmetry-distinct sites (fractional):
Sc1 0.0000 0.0000 0.0978 [4 per cell]  6 N 2.18-2.25
Sc2 0.0000 0.0000 0.3006 [4 per cell]  6 N 2.23-2.32
Ti1 0.0000 0.0000 0.5000 [2 per cell]  6 N 2.12-2.23
N1 0.0000 0.0000 0.0000 [2 per cell]  2 Sc 2.18, 4 Ti 2.23
N2 0.0000 0.0000 0.1991 [4 per cell]  6 Sc 2.23-2.26
N3 0.0000 0.0000 0.4047 [4 per cell]  1 Ti 2.12, 5 Sc 2.23-2.32

---

Entry from Alexandria: crystalline Ce3Te2S at its relaxed geometry (PBE).

Computed properties:
Offset from the most stable computed form in meV/atom: 0
ΔE_f (raw) in eV/f.u.: -9.22

Cell: 4.2466 6.1606 13.2491 Å, 90.00 90.00 90.00°
Closest atoms and distances in Å follow each position.
Space group Immm (No. 71)
Symmetry-distinct sites (fractional):
Ce1 0.0000 0.0000 0.0000 [2 per cell]  2 S 3.08, 4 Te 3.16
Ce2 0.0000 0.0000 0.3572 [4 per cell]  2 S 2.84, 2 Te 3.11
Te1 0.0000 0.5000 0.3235 [4 per cell]  6 Ce 3.11-3.20
S1 0.0000 0.5000 0.0000 [2 per cell]  6 Ce 2.84-3.08

---

Entry from Alexandria: crystalline SrLiSb2 at its relaxed geometry (PBE).

Computed properties:
Offset from the most stable computed form in meV/atom: 1
ΔE_f (raw) in eV/f.u.: -2.41

Cell: 9.3892 4.1895 6.1282 Å, 90.00 106.06 90.00°
Closest atoms and distances in Å follow each position.
Space group C2/m (No. 12)
Symmetry-distinct sites (fractional):
Sr1 0.0000 0.0000 0.0000 [2 per cell]  6 Sb 3.38-3.40, 4 Li 3.71
Li1 0.0000 0.5000 0.5000 [2 per cell]  6 Sb 2.94-3.05
Sb1 0.2398 0.0000 0.6787 [4 per cell]  3 Li 2.94-3.05, 2 Sb 3.07

---

Entry from Alexandria: crystalline Ac2AsPdO6 at its relaxed geometry (PBE).

Computed properties:
ΔE_f (raw) in eV/f.u.: -20.30

Cell: 5.7499 5.7499 4.4214 Å, 90.00 90.00 90.00°
Closest atoms and distances in Å follow each position.
Space group P4mm (No. 99)
Symmetry-distinct sites (fractional):
Ac1 0.0000 0.5000 0.0000 [2 per cell]  6 O 2.59-2.89
As1 0.0000 0.0000 0.5591 [1 per cell]  5 O 1.78-1.87
Pd1 0.5000 0.5000 0.5568 [1 per cell]  6 O 2.19-2.26
O1 0.0000 0.0000 0.1573 [1 per cell]  1 As 1.78
O2 0.2256 0.2256 0.6389 [4 per cell]  1 As 1.87
O3 0.5000 0.5000 0.0620 [1 per cell]  2 Pd 2.19-2.23

---

Entry from Alexandria: crystalline CsNa2SrGa at its relaxed geometry (PBE).

Computed properties:
Formation energy from the elements in eV per atom: 0.0451

Cell: 6.2554 6.2554 6.1609 Å, 90.00 90.00 90.00°
Closest atoms and distances in Å follow each position.
Space group P4/mmm (No. 123)
Symmetry-distinct sites (fractional):
Cs1 0.0000 0.0000 0.0000 [1 per cell]  8 Na 4.39, 4 Sr 4.42
Na1 0.0000 0.5000 0.5000 [2 per cell]  2 Ga 3.13
Sr1 0.5000 0.5000 0.0000 [1 per cell]  2 Ga 3.08
Ga1 0.5000 0.5000 0.5000 [1 per cell]  2 Sr 3.08, 4 Na 3.13

---

Entry from Alexandria: crystalline TmSi4Pd6 at its relaxed geometry (PBE).

Computed properties:
Offset from the most stable computed form in meV/atom: 221
ΔE_f (raw) in eV/f.u.: -6.21

Cell: 6.7120 6.7120 8.4203 Å, 90.00 90.00 90.00°
Closest atoms and distances in Å follow each position.
Space group I-42m (No. 121)
Symmetry-distinct sites (fractional):
Tm1 0.0000 0.0000 0.0000 [2 per cell]  4 Si 3.02, 8 Pd 3.36-3.37
Si1 0.2091 0.2091 0.3556 [8 per cell]  4 Pd 2.30-2.43
Pd1 0.0000 0.5000 0.0000 [4 per cell]  4 Si 2.69, 4 Pd 2.81
Pd2 0.1477 0.1477 0.6358 [8 per cell]  4 Si 2.30-2.43

---

Entry from Alexandria: crystalline RuBrN2O at its relaxed geometry (PBE).

Computed properties:
ΔE_f (raw) in eV/f.u.: 11.80

Cell: 4.0444 4.0444 3.7461 Å, 90.00 90.00 90.00°
Closest atoms and distances in Å follow each position.
Space group P4/mmm (No. 123)
Symmetry-distinct sites (fractional):
Ru1 0.0000 0.0000 0.0000 [1 per cell]  8 N 2.76, 4 O 2.86
Br1 0.5000 0.5000 0.5000 [1 per cell]  2 O 1.87, 4 N 2.02
N1 0.0000 0.5000 0.5000 [2 per cell]  2 Br 2.02
O1 0.5000 0.5000 0.0000 [1 per cell]  2 Br 1.87

---

Entry from Alexandria: crystalline LiSnPSe4 at its relaxed geometry (PBE).

Computed properties:
ΔE_f (raw) in eV/f.u.: -2.36

Cell: 7.6181 8.8874 10.7465 Å, 90.00 90.00 90.00°
Closest atoms and distances in Å follow each position.
Space group Imma (No. 74)
Symmetry-distinct sites (fractional):
Li1 0.0000 0.0000 0.0000 [4 per cell]  2 Se 2.57
Sn1 0.2500 0.2500 0.2500 [4 per cell]  6 Se 2.70-2.83
P1 0.0000 0.2500 0.6280 [4 per cell]  2 Se 2.24
Se1 0.0000 0.0352 0.2375 [8 per cell]  1 Li 2.57, 2 Sn 2.70
Se2 0.2449 0.2500 0.5133 [8 per cell]  1 P 2.24

---

no.,total magnetization (μB per formula unit)
1,0.000
2,3.228
3,0.000
4,0.165
5,0.000
6,0.000
7,3.274
8,0.000